Density functional theory data (PBE+U) for a geometry-optimized NpMnHO6 structure.

The structure in POSCAR format:
```
NpMnHO6
1.0
-3.308 3.753 -1.357
0.360 -1.470 4.957
6.245 5.982 1.321
Np Mn H O
2 2 2 12
Cartesian
0.699 1.766 3.183
2.599 6.499 1.739
-0.524 3.507 1.078
3.821 4.757 3.844
0.000 0.000 0.000
3.123 2.991 0.661
-1.113 2.316 2.478
-2.311 3.995 0.535
3.175 3.621 5.264
5.608 4.269 4.387
1.239 3.027 1.700
-0.740 4.952 2.340
3.638 6.154 5.163
0.122 4.644 -0.342
4.037 3.313 2.581
-0.341 2.111 -0.241
2.058 5.238 3.222
4.410 5.949 2.444
```

Computed properties:
calculated total energy: -130.7 eV for the cell shown
space group: P-31c